(1)
Compound: BeMo2Pb
Source: Alexandria
Functional: PBE
Structure: optimized geometry

a b c (Å): 3.3637 4.4076 4.4453
angles (deg): 90.00 90.00 90.00
Fractional positions:
Pb1 0.5000 0.0000 0.5000
Be1 0.0000 0.5000 0.5000
Mo1 0.0000 0.0000 0.0000
Mo2 0.5000 0.5000 0.0000

Values from the calculation:
Density of states at the Fermi level ... 0.847 states/eV/atom
Offset from the most stable computed form ... 350 meV per atom
Energy relative to the elements ... 0.652 eV per atom
Calculated total energy ... -6.622 eV per atom

(2)
Compound: Be4MoPb
Source: Alexandria
Functional: PBE
Structure: optimized geometry

a b c (Å): 4.6982 4.6982 4.6982
angles (deg): 60.00 60.00 60.00
Fractional positions:
Be1 0.8564 0.3812 0.3812
Be2 0.3812 0.3812 0.8564
Be3 0.3812 0.8564 0.3812
Be4 0.3812 0.3812 0.3812
Mo1 0.7500 0.7500 0.7500
Pb1 0.0000 0.0000 0.0000

Values from the calculation:
Density of states at the Fermi level ... 0.998 states/eV/atom
Energy relative to the elements ... 0.386 eV per atom
Calculated total energy ... -4.522 eV per atom

(3)
Compound: BeMo3Pb
Source: Alexandria
Functional: PBE
Structure: optimized geometry

a b c (Å): 4.9897 4.9897 4.9897
angles (deg): 90.00 90.00 90.00
Fractional positions:
Pb1 0.0000 0.0000 0.0000
Be1 0.5000 0.5000 0.5000
Mo1 0.0000 0.5000 0.0000
Mo2 0.0000 0.0000 0.5000
Mo3 0.5000 0.0000 0.0000

Values from the calculation:
Density of states at the Fermi level ... 1.378 states/eV/atom
Offset from the most stable computed form ... 2140 meV per atom
Energy relative to the elements ... 2.927 eV per atom
Calculated total energy ... -5.059 eV per atom

(4)
Compound: BeMoPb
Source: Alexandria
Functional: PBE
Structure: optimized geometry

a b c (Å): 7.3628 7.3628 2.9413
angles (deg): 78.48 78.48 23.04
Fractional positions:
Pb1 0.6895 0.6895 0.3105
Be1 0.9535 0.9535 0.0465
Mo1 0.3570 0.3570 0.6430

Values from the calculation:
Density of states at the Fermi level ... 0.757 states/eV/atom
Offset from the most stable computed form ... 189 meV per atom
Energy relative to the elements ... 0.739 eV per atom
Calculated total energy ... -5.350 eV per atom

(5)
Compound: BeMo2Pb
Source: Alexandria
Functional: PBE
Structure: optimized geometry

a b c (Å): 3.2251 3.2251 7.2399
angles (deg): 63.49 90.00 90.00
Fractional positions:
Pb1 0.0000 0.4872 0.5109
Be1 0.5000 0.6840 0.8173
Mo1 0.0000 0.0246 0.9764
Mo2 0.5000 0.3041 0.1954

Values from the calculation:
Density of states at the Fermi level ... 0.517 states/eV/atom
Offset from the most stable computed form ... 0 meV per atom
Energy relative to the elements ... 0.302 eV per atom
Calculated total energy ... -6.972 eV per atom

(6)
Compound: BeMo2Pb
Source: Alexandria
Functional: PBE
Structure: optimized geometry

a b c (Å): 5.0894 5.0894 5.0894
angles (deg): 140.86 127.06 67.77
Fractional positions:
Pb1 0.4885 0.4885 0.0000
Be1 0.2387 0.7387 0.5000
Mo1 0.0079 0.0079 0.0000
Mo2 0.7649 0.2649 0.5000

Values from the calculation:
Density of states at the Fermi level ... 0.848 states/eV/atom
Offset from the most stable computed form ... 304 meV per atom
Energy relative to the elements ... 0.606 eV per atom
Calculated total energy ... -6.668 eV per atom

Look up the energy relative to the elements of the third one. 2.927 eV per atom